The following is a GGA-PBE calculation of crystalline ZnHg3 at its relaxed geometry, from Alexandria.

Summary:
**Energy above the lowest structure with this stoichiometry**: 0.081 eV/f.u.
**E_form**: 0.088 eV per atom
**Final energy**: -0.4564 eV per atom
**Space-group type**: Cmcm (63)
**Volume**: 388 Å³ per cell
**Crystal system**: orthorhombic

abc: 7.9136 11.2626 4.3483
angles: 90.00 90.00 90.00
With the nearest neighbours (Å) after each atom.
Positions (direct):
Zn  0.0000  0.1942  0.2500  8 Hg 2.90-3.19
Zn  0.0000  0.8058  0.7500  8 Hg 2.90-3.19
Zn  0.5000  0.3058  0.7500  8 Hg 2.90-3.19
Zn  0.5000  0.6942  0.2500  8 Hg 2.90-3.19
Hg  0.0000  0.3781  0.7500  2 Zn 3.00, 4 Hg 3.17
Hg  0.0000  0.6219  0.2500  2 Zn 3.00, 4 Hg 3.17
Hg  0.2098  0.1090  0.7500  3 Zn 2.90-3.19, 2 Hg 3.17
Hg  0.2098  0.8910  0.2500  3 Zn 2.90-3.19, 2 Hg 3.17
Hg  0.2902  0.3910  0.2500  3 Zn 2.90-3.19, 2 Hg 3.17
Hg  0.2902  0.6090  0.7500  3 Zn 2.90-3.19, 2 Hg 3.17
Hg  0.5000  0.1219  0.2500  2 Zn 3.00, 4 Hg 3.17
Hg  0.5000  0.8781  0.7500  2 Zn 3.00, 4 Hg 3.17
Hg  0.7098  0.3910  0.2500  3 Zn 2.90-3.19, 2 Hg 3.17
Hg  0.7098  0.6090  0.7500  3 Zn 2.90-3.19, 2 Hg 3.17
Hg  0.7902  0.1090  0.7500  3 Zn 2.90-3.19, 2 Hg 3.17
Hg  0.7902  0.8910  0.2500  3 Zn 2.90-3.19, 2 Hg 3.17

The following is a GGA-PBE calculation of crystalline SrRe2Te at its relaxed geometry, from Alexandria.

Summary:
**Formation energy without anion corrections**: 1.0181 eV per atom
**Final energy**: -6.4119 eV per atom
**Space-group type**: P2/m (10)
**Volume**: 83 Å³ per cell
**Crystal system**: monoclinic

abc: 4.7273 3.3082 5.3771
angles: 90.00 97.60 90.00
With the nearest neighbours (Å) after each atom.
Positions (direct):
Sr  0.0000  0.0000  0.0000  4 Te 2.88, 4 Re 3.16
Re  0.0000  0.5000  0.5000  4 Re 2.88, 4 Sr 3.16
Re  0.5000  0.0000  0.5000  4 Re 2.88, 4 Te 3.16
Te  0.5000  0.5000  0.0000  4 Sr 2.88, 4 Re 3.16

| no. | mass density (g/cm3) |
| --- | --- |
| 1 | 11.4 |
| 2 | 11.7 |